1.
This record from the Alexandria database describes a relaxed BaPSe2 crystal. The functional is PBE.

Cell and atoms, written as POSCAR:
```
BaPSe2
1.0
-0.0320 3.4963 4.5751
-5.4668 -0.0600 1.8076
4.4469 -3.5859 -0.7235
Ba P Se
1 1 2
Cartesian
-2.7888 1.7427 3.2371
0.5050 1.0190 3.9019
-5.3569 3.3476 6.2181
-1.6594 -1.1047 1.8763
```

The total energy is -16.602 eV per cell. The distance to the lowest polymorph of the same formula comes out at 32.22 kJ/mol of atoms. For the uncorrected formation energy, the calculation gives -2.3 eV per formula unit.

2.
This record from the Alexandria database describes a relaxed HoZnBi2 crystal. The functional is PBE.

Cell and atoms, written as POSCAR:
```
HoZnBi2
1.0
-1.7790 3.2943 2.1524
-1.3737 -0.5610 4.0556
5.4540 2.8125 4.5356
Zn Bi Ho
1 2 1
Cartesian
0.0000 0.0000 0.0000
0.4032 1.3362 2.6207
1.8981 4.2097 8.1230
1.1507 2.7729 5.3718
```

For the formation energy, the calculation gives -0.13 eV per atom. The total energy is -14.132 eV per cell. The distance to the lowest polymorph of the same formula comes out at 15.38 kJ/mol of atoms.

3.
This record from the Alexandria database describes a relaxed Hf2NbTl2 crystal. The functional is PBE.

Cell and atoms, written as POSCAR:
```
Hf2NbTl2
1.0
-5.0493 -3.5855 -5.7313
-3.1143 -5.1156 5.9440
-2.2570 2.1335 0.6537
Tl Hf Nb
4 4 2
Cartesian
-4.0945 -2.9927 3.3355
-7.1013 -5.5775 1.3902
-6.3260 -3.5749 -2.4692
-3.3192 -0.9900 -0.5239
-4.6063 -5.8078 3.0514
-6.3617 -6.3368 -1.2826
-3.5572 -2.8933 -2.8388
-1.8019 -2.3643 1.4953
0.0000 0.0000 0.0000
-4.0818 -4.3505 0.1063
```

For the formation energy, the calculation gives 0.56 eV per atom. The total energy is -63.853 eV per cell. The distance to the lowest polymorph of the same formula comes out at 24.55 kJ/mol of atoms.